Record 1
Li2CaF2 | PBE | optimized geometry

Output
formation energy from raw total energies: -1671 meV per atom
density: 2.064 g/cm3
energy: -0.2635 Ry/atom

```
data_Li2CaF2
_cell_length_a 3.545
_cell_length_b 3.545
_cell_length_c 6.396
_cell_angle_alpha 73.91
_cell_angle_beta 73.91
_cell_angle_gamma 90.00
_space_group_name_H-M_alt 'P 1'
_space_group_IT_number 1
_space_group_name_Hall 'P 1'
loop_
_atom_site_label
_atom_site_fract_x
_atom_site_fract_y
_atom_site_fract_z
Ca1 0.000 0.000 0.000
F1 0.605 0.605 0.790
F2 0.395 0.395 0.210
Li1 0.250 0.750 0.500
Li2 0.750 0.250 0.500
```

---

Record 2
Ti3Ga8 | PBE | optimized geometry

Output
density: 5.567 g/cm3
energy: -0.3238 Ry/atom
formation enthalpy at 0 K: -51 meV/atom

```
data_Ti3Ga8
_cell_length_a 5.936
_cell_length_b 5.936
_cell_length_c 5.936
_cell_angle_alpha 90.01
_cell_angle_beta 90.01
_cell_angle_gamma 90.01
_space_group_name_H-M_alt 'P 1'
_space_group_IT_number 1
_space_group_name_Hall 'P 1'
loop_
_atom_site_label
_atom_site_fract_x
_atom_site_fract_y
_atom_site_fract_z
Ga1 0.773 0.227 0.227
Ga2 0.773 0.227 0.773
Ga3 0.773 0.773 0.227
Ga4 0.227 0.227 0.773
Ga5 0.773 0.773 0.773
Ga6 0.227 0.773 0.773
Ga7 0.227 0.227 0.227
Ga8 0.227 0.773 0.227
Ti1 0.500 0.000 0.500
Ti2 0.000 0.500 0.500
Ti3 0.500 0.500 0.000
```

---

Record 3
Rb2YCuN | PBE | optimized geometry

Output
formation energy from raw total energies: 264 meV per atom
density: 3.308 g/cm3
energy: -0.2866 Ry/atom

```
data_Rb2YCuN
_cell_length_a 6.171
_cell_length_b 4.447
_cell_length_c 6.171
_cell_angle_alpha 90.00
_cell_angle_beta 90.00
_cell_angle_gamma 90.00
_space_group_name_H-M_alt 'P 1'
_space_group_IT_number 1
_space_group_name_Hall 'P 1'
loop_
_atom_site_label
_atom_site_fract_x
_atom_site_fract_y
_atom_site_fract_z
Rb1 0.000 0.000 0.500
Rb2 0.500 0.000 0.000
N1 0.000 0.000 0.000
Y1 0.000 0.500 0.000
Cu1 0.500 0.500 0.500
```

---

Record 4
Tl4InHg3 | PBE | optimized geometry

Output
density: 11.014 g/cm3
energy: -0.1205 Ry/atom
formation enthalpy at 0 K: -1 meV/atom

```
data_Tl4InHg3
_cell_length_a 3.475
_cell_length_b 5.005
_cell_length_c 13.299
_cell_angle_alpha 90.00
_cell_angle_beta 90.00
_cell_angle_gamma 90.00
_space_group_name_H-M_alt 'P 1'
_space_group_IT_number 1
_space_group_name_Hall 'P 1'
loop_
_atom_site_label
_atom_site_fract_x
_atom_site_fract_y
_atom_site_fract_z
Hg1 0.000 0.000 0.433
Hg2 0.000 0.500 0.569
Hg3 0.500 0.000 0.930
Tl1 0.000 0.000 0.178
Tl2 0.500 0.500 0.327
Tl3 0.500 0.000 0.675
Tl4 0.000 0.500 0.823
In1 0.500 0.500 0.064
```

---

Record 5
Pm3Si2Ni9Ge | PBE | optimized geometry

Output
formation energy from raw total energies: -309 meV per atom
density: 7.177 g/cm3
energy: -0.4233 Ry/atom

```
data_Pm3Si2Ni9Ge
_cell_length_a 5.946
_cell_length_b 5.946
_cell_length_c 8.254
_cell_angle_alpha 90.00
_cell_angle_beta 90.00
_cell_angle_gamma 120.00
_space_group_name_H-M_alt 'P 1'
_space_group_IT_number 1
_space_group_name_Hall 'P 1'
loop_
_atom_site_label
_atom_site_fract_x
_atom_site_fract_y
_atom_site_fract_z
Ni1 0.000 0.500 0.000
Ni2 0.719 0.859 0.282
Ni3 0.859 0.141 0.718
Ni4 0.500 0.000 0.000
Ni5 0.141 0.859 0.282
Ni6 0.281 0.141 0.718
Ni7 0.141 0.281 0.282
Ni8 0.859 0.719 0.718
Ni9 0.500 0.500 0.000
Ge1 0.000 0.000 0.500
Si1 0.333 0.667 0.180
Si2 0.667 0.333 0.820
Pm1 0.667 0.333 0.341
Pm2 0.000 0.000 0.000
Pm3 0.333 0.667 0.659
```